DFT (PBE) results for a relaxed structure of Hf4Ga5Co.

Results
Its formation energy is -0.2680 eV/atom. The magnetic moment is 0.0000 μB/atom.

Cell: 6.3384 6.3384 6.3384 Å, 101.09 101.09 127.98°
Last column: nearest neighbours and their distance in Å.
Positions (direct):
Hf  0.0573  0.3088  0.3661  1 Co 2.76, 6 Ga 2.77-2.96
Hf  0.3088  0.9427  0.2516  1 Co 2.76, 6 Ga 2.77-2.96
Hf  0.6912  0.0573  0.7484  1 Co 2.76, 6 Ga 2.77-2.96
Hf  0.9427  0.6912  0.6339  1 Co 2.76, 6 Ga 2.77-2.96
Ga  0.2207  0.2207  0.0000  1 Co 2.32, 4 Ga 2.58
Ga  0.2894  0.6088  0.8627  1 Co 2.54, 3 Ga 2.58-2.80, 2 Hf 2.77
Ga  0.4267  0.2894  0.6806  1 Co 2.54, 3 Ga 2.58-2.80, 2 Hf 2.77
Ga  0.6088  0.7461  0.3194  1 Co 2.54, 3 Ga 2.58-2.80, 2 Hf 2.77
Ga  0.7461  0.4267  0.1373  1 Co 2.54, 3 Ga 2.58-2.80, 2 Hf 2.77
Co  0.8038  0.8038  0.0000  5 Ga 2.32-2.54